A geometry-optimized RbTlBr2 structure. Source: the Alexandria database, functional PBE-GGA.

Values from the calculation:
SG = R3m, No. 160
ΔE_f (raw) = -1.283 eV per atom
magnetization = 0.000 μB per atom
energy above the most stable polymorph in this dataset = 20.2 meV per atom
calculated total energy = -2.953 eV per atom

Cell lengths 4.758, 4.758, 8.759 Å; angles 74.24, 74.24, 60.00 degrees
Element x y z (fractional)
1 Rb 0.499 0.499 0.502
2 Tl 0.667 0.667 0.998
3 Br 0.081 0.081 0.758
4 Br 0.253 0.253 0.242